Entry from Alexandria via LeMat-Bulk: a relaxed structure of LiAl5Rh (PBE).

Cell: 4.2063 4.2063 6.4951 Å, 90.00 90.00 90.00°
With the nearest neighbours (Å) after each atom.
Space group P4/mmm (No. 123)
Inequivalent atoms, fractional coordinates:
Li1 0.0000 0.0000 0.0000 [1 per cell]  12 Al 2.81-2.97
Al1 0.0000 0.5000 0.2861 [4 per cell]  2 Rh 2.52, 3 Al 2.78-2.81, 2 Li 2.81
Al2 0.5000 0.5000 0.0000 [1 per cell]  8 Al 2.81, 4 Li 2.97
Rh1 0.0000 0.0000 0.5000 [1 per cell]  8 Al 2.52

Summary:
- total magnetic moment (μB/cell) = 0.0
- raw total energy (eV/atom) = -4.414